DFT (GGA+U) results for a relaxed structure of VFeF4.

## Properties
The value obtained for the volume is 165.0 Å³/cell. The calculation puts the energy above the most stable polymorph in this dataset at 189 meV/atom. Its space-group type is Pmn2_1 (31).

Cell: 4.1850 6.3997 6.1605 Å, 90.00 90.00 90.00°
Each line ends with the local moment (μB).
Atoms (fractional coordinates):
1 V 0.3784 0.3903 0.0000  2.73
2 V 0.8784 0.6097 0.5000  2.73
3 Fe 0.0560 0.9550 0.0000  3.81
4 Fe 0.5560 0.0450 0.5000  3.81
5 F 0.3530 0.7021 0.0000  0.03
6 F 0.8774 0.3543 0.0000  0.02
7 F 0.3535 0.1305 0.7867  0.04
8 F 0.8535 0.8695 0.7133  0.04
9 F 0.3774 0.6457 0.5000  0.02
10 F 0.8530 0.2979 0.5000  0.03
11 F 0.8535 0.8695 0.2867  0.04
12 F 0.3535 0.1305 0.2133  0.04